[1]
This record from Alexandria via LeMat-Bulk describes a geometry-optimized PdI2NF structure. The functional is PBE-GGA.

Volume   117.6 Å³/cell
Uncorrected formation energy   0.584 eV per atom
Size of the total moment   0.00 μB/atom
Fermi-level density of states   10.512 states/eV/f.u.
Calculated density   5.6 Mg/m³

a b c (Å): 5.647 5.647 3.689
angles (deg): 90.00 90.00 90.00
Sites, in units of the cell vectors:
Pd 0.000 0.000 0.000
N 0.000 0.000 0.500
I 0.000 0.500 0.000
I 0.500 0.000 0.000
F 0.500 0.500 0.500

---

[2]
This record from Alexandria via LeMat-Bulk describes a geometry-optimized LaY2Te4 structure. The functional is PBE-GGA.

Volume   934.3 Å³/cell
Uncorrected formation energy   -1.468 eV per atom
Size of the total moment   0.00 μB/atom
Fermi-level density of states   3.240 states/eV/f.u.
Calculated density   5.9 Mg/m³

a b c (Å): 4.332 13.615 15.841
angles (deg): 90.00 90.00 90.00
Sites, in units of the cell vectors:
Te 0.750 0.103 0.076
Te 0.250 0.397 0.576
Te 0.250 0.541 0.214
Te 0.250 0.897 0.924
Te 0.750 0.301 0.326
Te 0.750 0.603 0.424
Te 0.250 0.629 0.953
Te 0.250 0.129 0.547
Te 0.250 0.699 0.674
Te 0.750 0.801 0.174
Te 0.250 0.199 0.826
Te 0.750 0.959 0.714
Te 0.750 0.871 0.453
Te 0.750 0.459 0.786
Te 0.250 0.041 0.286
Te 0.750 0.371 0.047
Y 0.750 0.054 0.887
Y 0.250 0.946 0.113
Y 0.750 0.595 0.088
Y 0.250 0.905 0.588
Y 0.750 0.095 0.412
Y 0.750 0.554 0.613
Y 0.250 0.405 0.912
Y 0.250 0.446 0.387
La 0.750 0.747 0.826
La 0.250 0.253 0.174
La 0.750 0.247 0.674
La 0.250 0.753 0.326

---

[3]
This record from Alexandria via LeMat-Bulk describes a geometry-optimized Cu3BiOs structure. The functional is PBE-GGA.

E_form   1096 meV per atom
Volume   101.7 Å³/cell
Size of the total moment   0.00 μB/atom
Fermi-level density of states   2.790 states/eV/f.u.
Calculated density   9.6 Mg/m³

a b c (Å): 4.668 4.668 4.668
angles (deg): 90.00 90.00 90.00
Sites, in units of the cell vectors:
Cu 0.000 0.000 0.500
Cu 0.500 0.000 0.000
Cu 0.000 0.500 0.000
Os 0.000 0.000 0.000
Bi 0.500 0.500 0.500

---

[4]
This record from Alexandria via LeMat-Bulk describes a geometry-optimized Tb2HoCo9 structure. The functional is PBE-GGA.

E_form   -170 meV per atom
Volume   174.3 Å³/cell
Size of the total moment   0.88 μB/atom
Fermi-level density of states   16.306 states/eV/f.u.
Calculated density   9.7 Mg/m³

a b c (Å): 4.971 4.971 8.635
angles (deg): 73.27 73.27 60.00
Last column: magnetic moment on the atom in μB.
Sites, in units of the cell vectors:
Co 0.921 0.418 0.242  1.30
Co 0.665 0.665 0.004  1.47
Co 0.418 0.418 0.242  1.30
Co 0.079 0.582 0.758  1.30
Co 0.582 0.079 0.758  1.30
Co 0.582 0.582 0.758  1.30
Co 0.418 0.921 0.242  1.30
Co 0.500 0.500 0.500  1.18
Co 0.335 0.335 0.996  1.47
Tb 0.140 0.140 0.581  -0.39
Tb 0.860 0.860 0.419  -0.39
Ho 0.000 0.000 0.000  -0.32

---

[5]
This record from Alexandria via LeMat-Bulk describes a geometry-optimized K8Rb4Na structure. The functional is PBE-GGA.

E_form   19 meV per atom
Volume   982.4 Å³/cell
Size of the total moment   0.00 μB/atom
Fermi-level density of states   10.552 states/eV/f.u.
Calculated density   1.1 Mg/m³

a b c (Å): 4.706 23.273 9.318
angles (deg): 88.87 75.37 84.20
Sites, in units of the cell vectors:
K 0.781 0.264 0.174
K 0.204 0.931 0.662
K 0.831 0.594 0.744
K 0.524 0.239 0.714
K 0.375 0.745 0.504
K 0.988 0.087 0.936
K 0.063 0.388 0.486
K 0.109 0.701 0.080
Rb 0.575 0.549 0.301
Rb 0.317 0.426 0.940
Rb 0.953 0.903 0.191
Rb 0.251 0.099 0.399
Na 0.674 0.806 0.847

---

[6]
This record from Alexandria via LeMat-Bulk describes a geometry-optimized Ni2OsSe structure. The functional is PBE-GGA.

Volume   52.0 Å³/cell
Uncorrected formation energy   0.314 eV per atom
Size of the total moment   0.00 μB/atom
Fermi-level density of states   3.777 states/eV/f.u.
Calculated density   12.3 Mg/m³

a b c (Å): 3.071 3.071 5.517
angles (deg): 90.00 90.00 90.00
Sites, in units of the cell vectors:
Ni 0.500 0.500 0.234
Ni 0.000 0.000 0.009
Os 0.000 0.000 0.485
Se 0.500 0.500 0.773

---

[7]
This record from Alexandria via LeMat-Bulk describes a geometry-optimized BaNpGaO6 structure. The functional is PBE-GGA.

Volume   147.5 Å³/cell
Uncorrected formation energy   -2.440 eV per atom
Size of the total moment   0.00 μB/atom
Calculated density   6.1 Mg/m³

a b c (Å): 5.383 5.383 5.878
angles (deg): 90.00 90.00 60.00
Sites, in units of the cell vectors:
O 0.621 0.380 0.693
O 0.999 0.621 0.693
O 0.380 0.621 0.307
O 0.621 0.999 0.307
O 0.380 0.999 0.693
O 0.999 0.380 0.307
Ga 0.667 0.667 0.500
Ba 0.000 0.000 0.000
Np 0.333 0.333 0.500

---

[8]
This record from Alexandria via LeMat-Bulk describes a geometry-optimized SiMoRu2 structure. The functional is PBE-GGA.

Volume   55.4 Å³/cell
Uncorrected formation energy   -0.279 eV per atom
Size of the total moment   0.00 μB/atom
Fermi-level density of states   2.685 states/eV/f.u.
Calculated density   9.8 Mg/m³

a b c (Å): 5.070 5.070 5.070
angles (deg): 146.94 128.01 63.01
Sites, in units of the cell vectors:
Ru 0.473 0.473 0.000
Ru 0.027 0.027 0.000
Mo 0.750 0.250 0.500
Si 0.250 0.750 0.500

---

[9]
This record from Alexandria via LeMat-Bulk describes a geometry-optimized P2OsPb structure. The functional is PBE-GGA.

E_form   1045 meV per atom
Volume   70.0 Å³/cell
Size of the total moment   0.00 μB/atom
Fermi-level density of states   4.609 states/eV/f.u.
Calculated density   10.9 Mg/m³

a b c (Å): 4.627 4.627 4.627
angles (deg): 60.00 60.00 60.00
Sites, in units of the cell vectors:
P 0.250 0.250 0.250
P 0.000 0.000 0.000
Os 0.500 0.500 0.500
Pb 0.750 0.750 0.750

---

[10]
This record from Alexandria via LeMat-Bulk describes a geometry-optimized Bi2PSe2 structure. The functional is PBE-GGA.

Volume   139.0 Å³/cell
Uncorrected formation energy   0.274 eV per atom
Size of the total moment   0.00 μB/atom
Fermi-level density of states   3.644 states/eV/f.u.
Calculated density   7.3 Mg/m³

a b c (Å): 5.767 5.767 5.838
angles (deg): 60.40 60.40 90.00
Sites, in units of the cell vectors:
Bi 0.750 0.250 0.500
Bi 0.250 0.750 0.500
P 0.000 0.000 0.000
Se 0.681 0.681 0.639
Se 0.319 0.319 0.361

---

[11]
This record from Alexandria via LeMat-Bulk describes a geometry-optimized MnSbOs structure. The functional is PBE-GGA.

Volume   49.8 Å³/cell
Uncorrected formation energy   0.406 eV per atom
Size of the total moment   1.37 μB/atom
Fermi-level density of states   2.321 states/eV/f.u.
Calculated density   12.2 Mg/m³

a b c (Å): 4.846 4.846 4.846
angles (deg): 142.22 133.72 61.22
Last column: magnetic moment on the atom in μB.
Sites, in units of the cell vectors:
Sb 0.670 0.670 0.000  0.00
Mn 0.993 0.993 0.000  3.55
Os 0.337 0.337 0.000  0.33

---

[12]
This record from Alexandria via LeMat-Bulk describes a geometry-optimized AlCrSeN2 structure. The functional is PBE-GGA.

Volume   71.1 Å³/cell
Uncorrected formation energy   0.335 eV per atom
Size of the total moment   0.13 μB/atom
Fermi-level density of states   2.116 states/eV/f.u.
Calculated density   4.3 Mg/m³

a b c (Å): 3.686 3.686 5.237
angles (deg): 90.00 90.00 90.00
Last column: magnetic moment on the atom in μB.
Sites, in units of the cell vectors:
N 0.000 0.500 0.000  -0.15
N 0.500 0.000 0.000  -0.15
Cr 0.000 0.000 0.000  1.01
Se 0.000 0.000 0.500  -0.02
Al 0.500 0.500 0.500  0.00